[1]
A plane-wave DFT calculation with GGA-PBEsol was carried out for an optimized crystal structure of MnSe2O5.

Calculated values
Its polymorph energy (0 for the lowest one) is 0.00 eV/f.u. Its magnetic moment is 20.0 Bohr magnetons per cell. The uncorrected formation energy is -929 meV per atom. The volume comes out at 111.7 Å³/f.u.

```
data_MnSe2O5
_chemical_formula_sum 'Mn4 Se8 O20'
_cell_length_a 6.8853
_cell_length_b 10.5692
_cell_length_c 6.1374
_cell_angle_alpha 90.00
_cell_angle_beta 90.00
_cell_angle_gamma 90.00
_symmetry_space_group_name_H-M 'P b c n'
_symmetry_Int_Tables_number 60
_symmetry_space_group_name_Hall '-P 2n 2ab'
loop_
_atom_site_label
_atom_site_type_symbol
_atom_site_fract_x
_atom_site_fract_y
_atom_site_fract_z
Mn1 Mn 0.0000 0.0601 0.2500
Se1 Se 0.1317 0.3450 0.0320
O1 O 0.0000 0.4329 0.2500
O2 O 0.1595 0.0658 0.5452
O3 O 0.1968 0.2111 0.1652
```

***

[2]
A plane-wave DFT calculation with GGA-PBEsol was carried out for an optimized crystal structure of MnSe2O5.

Calculated values
Its polymorph energy (0 for the lowest one) is 0.09 eV/f.u. Its magnetic moment is 20.0 Bohr magnetons per cell. The uncorrected formation energy is -919 meV per atom. The volume comes out at 110.0 Å³/f.u.

```
data_MnSe2O5
_chemical_formula_sum 'Mn4 Se8 O20'
_cell_length_a 8.0111
_cell_length_b 10.8479
_cell_length_c 5.6381
_cell_angle_alpha 90.00
_cell_angle_beta 116.13
_cell_angle_gamma 90.00
_symmetry_space_group_name_H-M 'C 1 2/c 1'
_symmetry_Int_Tables_number 15
_symmetry_space_group_name_Hall '-C 2yc'
loop_
_atom_site_label
_atom_site_type_symbol
_atom_site_fract_x
_atom_site_fract_y
_atom_site_fract_z
Mn1 Mn 0.0000 0.0840 0.2500
Se1 Se 0.1536 0.3608 0.1127
O1 O 0.0000 0.4233 0.2500
O2 O 0.1510 0.0644 0.6668
O3 O 0.1866 0.2125 0.2162
```

***

[3]
A plane-wave DFT calculation with GGA-PBEsol was carried out for an optimized crystal structure of MnSiO2.

Calculated values
Its magnetic moment is 14.2 Bohr magnetons per cell. The uncorrected formation energy is -1072 meV per atom. For the density of states at the Fermi level, the calculation gives 0.334 states/eV/atom. The volume comes out at 44.0 Å³/f.u.

```
data_MnSiO2
_chemical_formula_sum 'Mn4 Si4 O8'
_cell_length_a 4.5367
_cell_length_b 4.5367
_cell_length_c 8.5435
_cell_angle_alpha 90.00
_cell_angle_beta 90.00
_cell_angle_gamma 90.00
_symmetry_space_group_name_H-M 'I -4 2 d'
_symmetry_Int_Tables_number 122
_symmetry_space_group_name_Hall 'I -4 2bw'
loop_
_atom_site_label
_atom_site_type_symbol
_atom_site_fract_x
_atom_site_fract_y
_atom_site_fract_z
Mn1 Mn 0.0000 0.0000 0.0000
Si1 Si 0.0000 0.0000 0.5000
O1 O 0.1585 0.2500 0.6250
```

***

[4]
A plane-wave DFT calculation with GGA-PBEsol was carried out for an optimized crystal structure of Mn4SiO7.

Calculated values
Its magnetic moment is 34.3 Bohr magnetons per cell. The uncorrected formation energy is -1741 meV per atom. For the density of states at the Fermi level, the calculation gives 0.297 states/eV/atom. The volume comes out at 130.3 Å³/f.u.

```
data_Mn4SiO7
_chemical_formula_sum 'Mn8 Si2 O14'
_cell_length_a 7.9143
_cell_length_b 7.9143
_cell_length_c 4.8025
_cell_angle_alpha 90.00
_cell_angle_beta 90.00
_cell_angle_gamma 120.00
_symmetry_space_group_name_H-M 'P 63'
_symmetry_Int_Tables_number 173
_symmetry_space_group_name_Hall 'P 6c'
loop_
_atom_site_label
_atom_site_type_symbol
_atom_site_fract_x
_atom_site_fract_y
_atom_site_fract_z
Mn1 Mn 0.0000 0.0000 0.0000
Mn2 Mn 0.1143 0.7111 0.0062
Si1 Si 0.3333 0.6667 0.5692
O1 O 0.0534 0.2142 0.2495
O2 O 0.1236 0.5076 0.7140
O3 O 0.3333 0.6667 0.2284
```

***

[5]
A plane-wave DFT calculation with GGA-PBEsol was carried out for an optimized crystal structure of MnSi4O10.

Calculated values
Its magnetic moment is 12.0 Bohr magnetons per cell. The uncorrected formation energy is -2372 meV per atom. For the density of states at the Fermi level, the calculation gives 0.500 states/eV/atom. The volume comes out at 206.3 Å³/f.u.

```
data_MnSi4O10
_chemical_formula_sum 'Mn4 Si16 O40'
_cell_length_a 7.3687
_cell_length_b 7.3687
_cell_length_c 15.1995
_cell_angle_alpha 90.00
_cell_angle_beta 90.00
_cell_angle_gamma 90.00
_symmetry_space_group_name_H-M 'P 4/n c c'
_symmetry_Int_Tables_number 130
loop_
_symmetry_equiv_pos_as_xyz
'x,y,z'
'-x,-y,-z'
'-y+1/2,x,z'
'y+1/2,-x,-z'
'-x+1/2,-y+1/2,z'
'x+1/2,y+1/2,-z'
'y,-x+1/2,z'
'-y,x+1/2,-z'
'x+1/2,-y,-z+1/2'
'-x+1/2,y,z+1/2'
'-y,-x,-z+1/2'
'y,x,z+1/2'
'-x,y+1/2,-z+1/2'
'x,-y+1/2,z+1/2'
'y+1/2,x+1/2,-z+1/2'
'-y+1/2,-x+1/2,z+1/2'
loop_
_atom_site_label
_atom_site_type_symbol
_atom_site_fract_x
_atom_site_fract_y
_atom_site_fract_z
Mn1 Mn 0.2500 0.2500 0.0810
Si1 Si 0.0109 0.0696 0.3530
O1 O 0.0012 0.7149 0.6260
O2 O 0.0354 0.1368 0.0869
O3 O 0.0350 0.5350 0.2500
```

***

[6]
A plane-wave DFT calculation with GGA-PBEsol was carried out for an optimized crystal structure of Mn5Si3O12.

Calculated values
Its magnetic moment is 184.0 Bohr magnetons per cell. The uncorrected formation energy is -1968 meV per atom. For the density of states at the Fermi level, the calculation gives 0.485 states/eV/atom. The volume comes out at 203.8 Å³/f.u.

```
data_Mn5Si3O12
_chemical_formula_sum 'Mn40 Si24 O96'
_cell_length_a 11.7699
_cell_length_b 11.7699
_cell_length_c 11.7699
_cell_angle_alpha 90.00
_cell_angle_beta 90.00
_cell_angle_gamma 90.00
_symmetry_space_group_name_H-M 'I a -3 d'
_symmetry_Int_Tables_number 230
_symmetry_space_group_name_Hall '-I 4bd 2c 3'
loop_
_atom_site_label
_atom_site_type_symbol
_atom_site_fract_x
_atom_site_fract_y
_atom_site_fract_z
Mn1 Mn 0.0000 0.0000 0.0000
Mn2 Mn 0.0000 0.2500 0.1250
Si1 Si 0.0000 0.2500 0.3750
O1 O 0.0348 0.0536 0.6566
```

***

[7]
A plane-wave DFT calculation with GGA-PBEsol was carried out for an optimized crystal structure of Mn5Si2O10.

Calculated values
Its magnetic moment is 46.0 Bohr magnetons per cell. The uncorrected formation energy is -1852 meV per atom. For the density of states at the Fermi level, the calculation gives 0.010 states/eV/atom. The volume comes out at 188.7 Å³/f.u.

```
data_Mn5Si2O10
_chemical_formula_sum 'Mn10 Si4 O20'
_cell_length_a 7.8732
_cell_length_b 4.7951
_cell_length_c 10.4807
_cell_angle_alpha 90.00
_cell_angle_beta 107.44
_cell_angle_gamma 90.00
_symmetry_space_group_name_H-M 'P 1 21/c 1'
_symmetry_Int_Tables_number 14
_symmetry_space_group_name_Hall '-P 2ybc'
loop_
_atom_site_label
_atom_site_type_symbol
_atom_site_fract_x
_atom_site_fract_y
_atom_site_fract_z
Mn1 Mn 0.0000 0.0000 0.0000
Mn2 Mn 0.2107 0.0323 0.3332
Mn3 Mn 0.4259 0.0194 0.1054
Si1 Si 0.2085 0.5773 0.1426
O1 O 0.0393 0.7193 0.1800
O2 O 0.1902 0.7012 0.9921
O3 O 0.2222 0.2353 0.1453
O4 O 0.3846 0.7412 0.2416
O5 O 0.3989 0.1991 0.9389
```

***

[8]
A plane-wave DFT calculation with GGA-PBEsol was carried out for an optimized crystal structure of MnZnSi4O10.

Calculated values
Its magnetic moment is 20.0 Bohr magnetons per cell. The uncorrected formation energy is -2374 meV per atom. The volume comes out at 195.9 Å³/f.u.

```
data_MnZnSi4O10
_chemical_formula_sum 'Mn4 Zn4 Si16 O40'
_cell_length_a 7.2846
_cell_length_b 7.2846
_cell_length_c 14.7701
_cell_angle_alpha 90.00
_cell_angle_beta 90.00
_cell_angle_gamma 90.00
_symmetry_space_group_name_H-M 'P 4/n c c'
_symmetry_Int_Tables_number 130
loop_
_symmetry_equiv_pos_as_xyz
'x,y,z'
'-x,-y,-z'
'-y+1/2,x,z'
'y+1/2,-x,-z'
'-x+1/2,-y+1/2,z'
'x+1/2,y+1/2,-z'
'y,-x+1/2,z'
'-y,x+1/2,-z'
'x+1/2,-y,-z+1/2'
'-x+1/2,y,z+1/2'
'-y,-x,-z+1/2'
'y,x,z+1/2'
'-x,y+1/2,-z+1/2'
'x,-y+1/2,z+1/2'
'y+1/2,x+1/2,-z+1/2'
'-y+1/2,-x+1/2,z+1/2'
loop_
_atom_site_label
_atom_site_type_symbol
_atom_site_fract_x
_atom_site_fract_y
_atom_site_fract_z
Mn1 Mn 0.2500 0.2500 0.0562
Zn1 Zn 0.2500 0.7500 0.0000
Si1 Si 0.0145 0.5955 0.1445
O1 O 0.0047 0.1852 0.8746
O2 O 0.0240 0.6682 0.4262
O3 O 0.0658 0.5658 0.2500
```

***

[9]
A plane-wave DFT calculation with GGA-PBEsol was carried out for an optimized crystal structure of SrSmMn2O6.

Calculated values
Its magnetic moment is 14.0 Bohr magnetons per cell. The uncorrected formation energy is -2487 meV per atom. For the density of states at the Fermi level, the calculation gives 0.160 states/eV/atom. The volume comes out at 110.5 Å³/f.u.

```
data_SrSmMn2O6
_chemical_formula_sum 'Sr2 Sm2 Mn4 O12'
_cell_length_a 7.5850
_cell_length_b 5.4067
_cell_length_c 5.3872
_cell_angle_alpha 90.00
_cell_angle_beta 90.00
_cell_angle_gamma 90.00
_symmetry_space_group_name_H-M 'P m n 21'
_symmetry_Int_Tables_number 31
_symmetry_space_group_name_Hall 'P 2ac -2'
loop_
_atom_site_label
_atom_site_type_symbol
_atom_site_fract_x
_atom_site_fract_y
_atom_site_fract_z
Sr1 Sr 0.0000 0.2316 0.0000
Sm1 Sm 0.0000 0.7095 0.5128
Mn1 Mn 0.2504 0.2458 0.5025
O1 O 0.0000 0.2664 0.4542
O2 O 0.0000 0.7552 0.0794
O3 O 0.2118 0.9652 0.7167
O4 O 0.2204 0.4838 0.7675
```

***

[10]
A plane-wave DFT calculation with GGA-PBEsol was carried out for an optimized crystal structure of MnSnO3.

Calculated values
Its magnetic moment is 30.0 Bohr magnetons per cell. The uncorrected formation energy is -1479 meV per atom. For the density of states at the Fermi level, the calculation gives 0.391 states/eV/atom. The volume comes out at 59.8 Å³/f.u.

```
data_MnSnO3
_chemical_formula_sum 'Mn6 Sn6 O18'
_cell_length_a 5.3747
_cell_length_b 5.3747
_cell_length_c 14.3467
_cell_angle_alpha 90.00
_cell_angle_beta 90.00
_cell_angle_gamma 120.00
_symmetry_space_group_name_H-M 'R -3'
_symmetry_Int_Tables_number 148
_symmetry_space_group_name_Hall '-R 3'
loop_
_atom_site_label
_atom_site_type_symbol
_atom_site_fract_x
_atom_site_fract_y
_atom_site_fract_z
Mn1 Mn 0.0000 0.0000 0.1366
Sn1 Sn 0.0000 0.0000 0.3499
O1 O 0.0125 0.7059 0.2524
```

***

[11]
A plane-wave DFT calculation with GGA-PBEsol was carried out for an optimized crystal structure of Mn5SnO12.

Calculated values
Its magnetic moment is 30.0 Bohr magnetons per cell. The uncorrected formation energy is -1531 meV per atom. The volume comes out at 213.1 Å³/f.u.

```
data_Mn5SnO12
_chemical_formula_sum 'Mn10 Sn2 O24'
_cell_length_a 5.0383
_cell_length_b 8.7392
_cell_length_c 9.6782
_cell_angle_alpha 90.00
_cell_angle_beta 90.29
_cell_angle_gamma 90.00
_symmetry_space_group_name_H-M 'C 1 2/m 1'
_symmetry_Int_Tables_number 12
_symmetry_space_group_name_Hall '-C 2y'
loop_
_atom_site_label
_atom_site_type_symbol
_atom_site_fract_x
_atom_site_fract_y
_atom_site_fract_z
Mn1 Mn 0.0000 0.0000 0.0000
Mn2 Mn 0.0000 0.1667 0.5000
Mn3 Mn 0.0000 0.3332 0.0000
Sn1 Sn 0.0000 0.5000 0.5000
O1 O 0.1432 0.0000 0.6030
O2 O 0.1654 0.5000 0.9047
O3 O 0.1658 0.1666 0.9050
O4 O 0.1797 0.3212 0.6029
```